[1]
## SrTcN3 (PBE-GGA)

Data for crystalline SrTcN3 at its relaxed geometry.

```
data_SrTcN3
_space_group_name_H-M_alt 'C m c m'
_space_group_IT_number 63
_space_group_name_Hall '-C 2c 2'
_cell_length_a 4.199
_cell_length_b 12.405
_cell_length_c 5.666
_cell_angle_alpha 90.00
_cell_angle_beta 90.00
_cell_angle_gamma 90.00
loop_
_atom_site_label
_atom_site_fract_x
_atom_site_fract_y
_atom_site_fract_z
Sr1 0.000 0.124 0.250
Tc1 0.000 0.401 0.250
N1 0.000 0.500 0.000
N2 0.151 0.201 0.750
```

[2]
## PrTlHgS3 (PBE-GGA)

Data for crystalline PrTlHgS3 at its relaxed geometry.

```
data_PrTlHgS3
_space_group_name_H-M_alt 'C 1 2/m 1'
_space_group_IT_number 12
_space_group_name_Hall '-C 2y'
_cell_length_a 17.262
_cell_length_b 4.230
_cell_length_c 9.304
_cell_angle_alpha 90.00
_cell_angle_beta 105.63
_cell_angle_gamma 90.00
loop_
_atom_site_label
_atom_site_fract_x
_atom_site_fract_y
_atom_site_fract_z
Pr1 0.172 0.000 0.101
Tl1 0.135 0.000 0.569
Hg1 0.006 0.500 0.217
S1 0.000 0.000 0.000
S2 0.000 0.500 0.500
S3 0.161 0.500 0.882
S4 0.164 0.500 0.301
```

Relative energy among the computed polymorphs = 29.2 kJ/mol of formula units

[3]
## TmPPtO (PBE-GGA)

Data for crystalline TmPPtO at its relaxed geometry.

```
data_TmPPtO
_space_group_name_H-M_alt 'P m c 21'
_space_group_IT_number 26
_space_group_name_Hall 'P 2c -2'
_cell_length_a 3.525
_cell_length_b 7.451
_cell_length_c 5.518
_cell_angle_alpha 90.00
_cell_angle_beta 90.00
_cell_angle_gamma 90.00
loop_
_atom_site_label
_atom_site_fract_x
_atom_site_fract_y
_atom_site_fract_z
Tm1 0.000 0.218 0.000
P1 0.000 0.413 0.502
Pt1 0.500 0.224 0.495
O1 0.500 0.073 0.984
```

Relative energy among the computed polymorphs = 169.0 kJ/mol of formula units

[4]
## TlFeSn (PBE-GGA)

Data for crystalline TlFeSn at its relaxed geometry.

```
data_TlFeSn
_space_group_name_H-M_alt 'F -4 3 m'
_space_group_IT_number 216
_space_group_name_Hall 'F -4 2 3'
_cell_length_a 6.479
_cell_length_b 6.479
_cell_length_c 6.479
_cell_angle_alpha 90.00
_cell_angle_beta 90.00
_cell_angle_gamma 90.00
loop_
_atom_site_label
_atom_site_fract_x
_atom_site_fract_y
_atom_site_fract_z
Tl1 0.000 0.000 0.000
Fe1 0.250 0.250 0.750
Sn1 0.000 0.000 0.500
```

Relative energy among the computed polymorphs = 0.0 kJ/mol of formula units

[5]
## Sc2Nb2O5 (PBE-GGA)

Data for crystalline Sc2Nb2O5 at its relaxed geometry.

```
data_Sc2Nb2O5
_space_group_name_H-M_alt 'P 4/m m m'
_space_group_IT_number 123
_space_group_name_Hall '-P 4 2'
_cell_length_a 3.445
_cell_length_b 3.445
_cell_length_c 9.175
_cell_angle_alpha 90.00
_cell_angle_beta 90.00
_cell_angle_gamma 90.00
loop_
_atom_site_label
_atom_site_fract_x
_atom_site_fract_y
_atom_site_fract_z
Sc1 0.000 0.000 0.237
Nb1 0.500 0.500 0.000
Nb2 0.500 0.500 0.500
O1 0.000 0.000 0.000
O2 0.000 0.500 0.366
```

Relative energy among the computed polymorphs = 0.0 kJ/mol of formula units

[6]
## PrEr2Mg3In2Hg (PBE-GGA)

Data for crystalline PrEr2Mg3In2Hg at its relaxed geometry.

```
data_PrEr2Mg3In2Hg
_space_group_name_H-M_alt 'A m m 2'
_space_group_IT_number 38
_space_group_name_Hall 'A 2 -2'
_cell_length_a 4.654
_cell_length_b 13.230
_cell_length_c 7.462
_cell_angle_alpha 90.00
_cell_angle_beta 90.00
_cell_angle_gamma 90.00
loop_
_atom_site_label
_atom_site_fract_x
_atom_site_fract_y
_atom_site_fract_z
Pr1 0.000 0.000 0.000
Er1 0.000 0.210 0.629
Mg1 0.500 0.000 0.662
Mg2 0.500 0.119 0.303
In1 0.500 0.171 0.918
Hg1 0.000 0.000 0.434
```

Number 1: E -7.74 eV per atom. Number 2: E -4.21 eV per atom. Number 3: E -6.64 eV per atom. Number 4: E -4.52 eV per atom. Number 5: E -8.60 eV per atom. Number 6: E -3.11 eV per atom.